# PmV2PO8

A relaxed PmV2PO8 crystal (PBE with a Hubbard U, Alexandria via LeMat-Bulk).

a = 4.925 Å, b = 4.925 Å, c = 6.079 Å
α = 90.00°, β = 90.00°, γ = 120.00°
Site moments in Bohr magnetons follow the coordinates.
Fractional coordinates of all 12 atoms:
O 0.325 0.163 0.843  -0.08
O 0.163 0.837 0.157  -0.08
O 0.667 0.333 0.388  -0.12
O 0.675 0.837 0.157  -0.08
O 0.333 0.667 0.612  -0.12
O 0.837 0.675 0.843  -0.08
O 0.163 0.325 0.157  -0.08
O 0.837 0.163 0.843  -0.08
P 0.000 0.000 0.000  0.01
Pm 0.000 0.000 0.500  0.00
V 0.667 0.333 0.106  1.33
V 0.333 0.667 0.894  1.33

Results
spin magnetization: 0.1667 μB/atom
electronic total energy: -7.29 eV per atom
density of states at the Fermi level: 0.345 states/eV/atom
crystal system: trigonal